Entry 1:
The following is a DFT calculation (meta-GGA SCAN) of a PBEsol-optimized structure of Hg2BF.

Results
Size of the total moment: 0.00 μB per formula unit
E_tot: -294.361 eV for the cell shown
Space-group type: No. 122
Raw formation energy: 0.0302 eV per atom

a = 6.3573 Å, b = 6.3573 Å, c = 6.3573 Å
α = 127.52°, β = 127.52°, γ = 77.41°
Closest atoms and distances in Å follow each position.
Fractional positions:
Hg1 0.0782 0.6250 0.9532  2 B 2.20
Hg2 0.3750 0.3282 0.4532  2 B 2.20
Hg3 0.6718 0.1250 0.0468  2 B 2.20
Hg4 0.8750 0.9218 0.5468  2 B 2.20
B1 0.0000 0.0000 0.0000  4 Hg 2.20
B2 0.7500 0.2500 0.5000  4 Hg 2.20
F1 0.2500 0.7500 0.5000  4 Hg 2.51
F2 0.5000 0.5000 0.0000  4 Hg 2.51

=====

Entry 2:
The following is a DFT calculation (meta-GGA SCAN) of a PBEsol-optimized structure of GaHgAs2Se.

Results
Size of the total moment: 0.72 μB per formula unit
E_tot: -141.726 eV for the cell shown
Space-group type: No. 123
Raw formation energy: 0.6492 eV per atom

a = 4.9011 Å, b = 4.9011 Å, c = 4.9066 Å
α = 90.00°, β = 90.00°, γ = 90.00°
Closest atoms and distances in Å follow each position.
Fractional positions:
Ga1 0.0000 0.0000 0.0000  4 As 2.45, 2 Se 2.45
Hg1 0.5000 0.5000 0.5000  4 Se 3.47, 8 As 3.47
As1 0.0000 0.5000 0.0000  2 Ga 2.45
As2 0.5000 0.0000 0.0000  2 Ga 2.45
Se1 0.0000 0.0000 0.5000  2 Ga 2.45

=====

Entry 3:
The following is a DFT calculation (meta-GGA SCAN) of a PBEsol-optimized structure of GaCuSi3.

Results
Size of the total moment: 0.00 μB per formula unit
E_tot: -54.633 eV for the cell shown
Space-group type: No. 221
Raw formation energy: 1.3919 eV per atom

a = 4.6430 Å, b = 4.6430 Å, c = 4.6430 Å
α = 90.00°, β = 90.00°, γ = 90.00°
Closest atoms and distances in Å follow each position.
Fractional positions:
Ga1 0.0000 0.0000 0.0000  6 Si 2.32
Cu1 0.5000 0.5000 0.5000  12 Si 3.28
Si1 0.0000 0.0000 0.5000  2 Ga 2.32
Si2 0.0000 0.5000 0.0000  2 Ga 2.32
Si3 0.5000 0.0000 0.0000  2 Ga 2.32